Entry 1:
# SrGaI

A relaxed structure of SrGaI (PBE, Alexandria).

Cell: 5.443 3.984 5.659 Å, 90.00 106.16 90.00°
Last column: magnetic moment on the atom in μB.
Fractional positions:
Sr1 0.500 0.500 0.000  0.03
Ga1 0.000 0.000 0.000  0.07
I1 0.500 0.000 0.500  0.01

Output
Its total magnetization is 0.3 μB per cell. The space group is P2/m. The value obtained for the total energy is -7.8 eV for the cell shown. Its formation energy (no corrections) is -0.530 eV/atom.

***

Entry 2:
# Zn2SbTe

A relaxed structure of Zn2SbTe (PBE, Alexandria).

Cell: 4.051 7.001 5.737 Å, 35.12 90.00 90.00°
Fractional positions:
Sb1 0.500 0.500 0.500
Te1 0.000 0.000 0.500
Zn1 0.000 0.000 0.000
Zn2 0.500 0.500 0.000

Output
Its total magnetization is 0.0 μB per cell. The space group is P2/m. The value obtained for the total energy is -9.8 eV for the cell shown. Its formation energy (no corrections) is -0.001 eV/atom.

***

Entry 3:
# TbNiGe

A relaxed structure of TbNiGe (PBE, Alexandria).

Cell: 4.255 7.276 14.025 Å, 90.00 90.00 90.00°
Fractional positions:
Tb1 0.500 0.787 0.746
Tb2 0.000 0.286 0.500
Tb3 0.500 0.706 0.500
Tb4 0.000 0.294 0.000
Tb5 0.000 0.213 0.754
Tb6 0.000 0.213 0.246
Tb7 0.500 0.714 0.000
Tb8 0.500 0.787 0.254
Ni1 0.000 0.921 0.108
Ni2 0.000 0.921 0.892
Ni3 0.500 0.419 0.845
Ni4 0.000 0.581 0.345
Ni5 0.500 0.419 0.155
Ni6 0.500 0.079 0.392
Ni7 0.500 0.079 0.608
Ni8 0.000 0.581 0.655
Ge1 0.000 0.912 0.601
Ge2 0.000 0.590 0.852
Ge3 0.500 0.410 0.352
Ge4 0.000 0.590 0.148
Ge5 0.500 0.410 0.648
Ge6 0.000 0.912 0.399
Ge7 0.500 0.088 0.101
Ge8 0.500 0.088 0.899

Output
Its formation energy is -0.785 eV per atom. Its total magnetization is 0.0 μB per cell. The space group is Pmmn. The value obtained for the total energy is -139.1 eV for the cell shown.

***

Entry 4:
# NaTb2ThTe4

A relaxed structure of NaTb2ThTe4 (PBE, Alexandria).

Cell: 4.368 7.771 7.633 Å, 108.59 90.00 90.00°
Fractional positions:
Na1 0.500 0.500 0.000
Tb1 0.500 0.000 0.500
Tb2 0.000 0.500 0.500
Th1 0.000 0.000 0.000
Te1 0.500 0.257 0.256
Te2 0.500 0.743 0.744
Te3 0.000 0.250 0.744
Te4 0.000 0.750 0.256

Output
Its total magnetization is 0.0 μB per cell. The space group is P2/m. The value obtained for the total energy is -40.4 eV for the cell shown. Its formation energy (no corrections) is -1.224 eV/atom.

***

Entry 5:
# SiGe3

A relaxed structure of SiGe3 (PBE, Alexandria).

Cell: 5.448 5.448 5.448 Å, 137.29 137.29 61.99°
Fractional positions:
Si1 0.000 0.000 0.000
Ge1 0.750 0.250 0.500
Ge2 0.250 0.750 0.500
Ge3 0.500 0.500 0.000

Output
Its total magnetization is 0.0 μB per cell. The space group is I4/mmm. The value obtained for the total energy is -17.6 eV for the cell shown. Its formation energy (no corrections) is 0.421 eV/atom.

***

Entry 6:
# CaCdSb

A relaxed structure of CaCdSb (PBE, Alexandria).

Cell: 5.126 5.126 5.126 Å, 60.00 60.00 60.00°
Fractional positions:
Sb1 0.500 0.500 0.500
Ca1 0.750 0.750 0.750
Cd1 0.000 0.000 0.000

Output
Its total magnetization is 0.0 μB per cell. The space group is F-43m. The value obtained for the total energy is -8.0 eV for the cell shown. Its formation energy (no corrections) is -0.307 eV/atom.

***

Entry 7:
# In2Pb2N

A relaxed structure of In2Pb2N (PBE, Alexandria).

Cell: 3.964 3.964 9.106 Å, 77.43 77.43 90.00°
Last column: magnetic moment on the atom in μB.
Fractional positions:
Pb1 0.414 0.414 0.172  -0.03
Pb2 0.586 0.586 0.828  -0.03
N1 0.000 0.000 0.000  0.73
In1 0.750 0.250 0.500  0.03
In2 0.250 0.750 0.500  0.03

Output
Its total magnetization is 1.0 μB per cell. The space group is I4/mmm. The value obtained for the total energy is -16.5 eV for the cell shown. Its formation energy (no corrections) is 0.953 eV/atom.

***

Entry 8:
# In2SbIrPb

A relaxed structure of In2SbIrPb (PBE, Alexandria).

Cell: 5.673 5.089 5.673 Å, 90.00 90.00 90.00°
Fractional positions:
Pb1 0.000 0.000 0.000
Sb1 0.500 0.500 0.500
Ir1 0.000 0.500 0.000
In1 0.000 0.000 0.500
In2 0.500 0.000 0.000

Output
Its total magnetization is 0.0 μB per cell. The space group is P4/mmm. The value obtained for the total energy is -16.8 eV for the cell shown. Its formation energy (no corrections) is 1.080 eV/atom.

***

Entry 9:
# K11Na4

A relaxed structure of K11Na4 (PBE, Alexandria).

Cell: 8.121 15.245 15.245 Å, 90.00 90.00 90.00°
Fractional positions:
K1 0.000 0.000 0.000
K2 0.500 0.500 0.500
K3 0.000 0.391 0.609
K4 0.000 0.609 0.391
K5 0.500 0.891 0.891
K6 0.500 0.109 0.109
K7 0.000 0.056 0.284
K8 0.000 0.944 0.716
K9 0.500 0.216 0.556
K10 0.500 0.784 0.444
K11 0.500 0.444 0.784
K12 0.500 0.556 0.216
K13 0.000 0.284 0.056
K14 0.000 0.716 0.944
K15 0.248 0.313 0.313
K16 0.248 0.687 0.687
K17 0.748 0.187 0.813
K18 0.748 0.813 0.187
K19 0.252 0.187 0.813
K20 0.252 0.813 0.187
K21 0.752 0.313 0.313
K22 0.752 0.687 0.687
Na1 0.000 0.130 0.533
Na2 0.000 0.870 0.467
Na3 0.500 0.967 0.630
Na4 0.500 0.033 0.370
Na5 0.500 0.370 0.033
Na6 0.500 0.630 0.967
Na7 0.000 0.533 0.130
Na8 0.000 0.467 0.870

Output
Its formation energy is 0.042 eV per atom. Its total magnetization is 0.0 μB per cell. The space group is P4_2/mnm. The value obtained for the total energy is -33.4 eV for the cell shown.

***

Number 1: N(E_F) 2.13 states/eV per cell. Number 2: N(E_F) 2.14 states/eV per cell. Number 3: N(E_F) 10.42 states/eV per cell. Number 4: N(E_F) 5.34 states/eV per cell. Number 5: N(E_F) 1.38 states/eV per cell. Number 6: N(E_F) 2.34 states/eV per cell. Number 7: N(E_F) 3.27 states/eV per cell. Number 8: N(E_F) 4.19 states/eV per cell. Number 9: N(E_F) 22.08 states/eV per cell.